[1]
A geometry-optimized RbAgGe structure, computed with PBE.

Results
Distance to the lowest polymorph of the same formula (meV per atom): 458
SG: F-43m, No. 216
DFT total energy (eV per atom): -1.82

a = 5.444 Å, b = 5.444 Å, c = 5.444 Å
α = 60.00°, β = 60.00°, γ = 60.00°
Atoms (fractional coordinates):
Ag 0.250 0.250 0.250
Ge 0.750 0.750 0.750
Rb 0.000 0.000 0.000


[2]
A geometry-optimized Cu structure, computed with PBE.

Results
Distance to the lowest polymorph of the same formula (meV per atom): 164
SG: C2/m, No. 12
DFT total energy (eV per atom): -3.55
E_form (eV per formula unit): 0.16

a = 4.388 Å, b = 4.388 Å, c = 26.564 Å
α = 90.25°, β = 90.25°, γ = 47.15°
Atoms (fractional coordinates):
Cu 0.350 0.350 0.015
Cu 0.050 0.050 0.046
Cu 0.750 0.750 0.077
Cu 0.450 0.450 0.109
Cu 0.148 0.148 0.139
Cu 0.847 0.847 0.171
Cu 0.549 0.549 0.203
Cu 0.246 0.246 0.233
Cu 0.946 0.946 0.260
Cu 0.054 0.054 0.740
Cu 0.754 0.754 0.767
Cu 0.451 0.451 0.797
Cu 0.153 0.153 0.829
Cu 0.852 0.852 0.861
Cu 0.550 0.550 0.891
Cu 0.250 0.250 0.923
Cu 0.950 0.950 0.954
Cu 0.650 0.650 0.985


[3]
A geometry-optimized HfTc2Os structure, computed with PBE.

Results
M_tot (μB per cell): 0.16
SG: F-43m, No. 216
DFT total energy (eV per atom): -10.53
E_form (eV per formula unit): -0.20

a = 4.473 Å, b = 4.473 Å, c = 4.473 Å
α = 60.00°, β = 60.00°, γ = 60.00°
Each line ends with the local moment (μB).
Atoms (fractional coordinates):
Hf 0.500 0.500 0.500  0.00
Os 0.750 0.750 0.750  0.04
Tc 0.000 0.000 0.000  0.09
Tc 0.250 0.250 0.250  0.01


[4]
A geometry-optimized CsZrHg3Se4 structure, computed with PBE.

Results
M_tot (μB per cell): 0.00
SG: P-43m, No. 215
DFT total energy (eV per atom): -3.26

a = 7.082 Å, b = 7.082 Å, c = 7.082 Å
α = 90.00°, β = 90.00°, γ = 90.00°
Atoms (fractional coordinates):
Cs 0.000 0.000 0.000
Hg 0.500 0.500 0.000
Hg 0.500 0.000 0.500
Hg 0.000 0.500 0.500
Se 0.291 0.291 0.291
Se 0.709 0.709 0.291
Se 0.709 0.291 0.709
Se 0.291 0.709 0.709
Zr 0.500 0.500 0.500


[5]
A geometry-optimized SmTe structure, computed with PBE.

Results
M_tot (μB per cell): 0.00
SG: Fm-3m, No. 225
DFT total energy (eV per atom): -5.31

a = 4.439 Å, b = 4.439 Å, c = 4.439 Å
α = 60.00°, β = 60.00°, γ = 60.00°
Atoms (fractional coordinates):
Sm 0.000 0.000 0.000
Te 0.500 0.500 0.500


[6]
A geometry-optimized NbTlTc structure, computed with PBE.

Results
M_tot (μB per cell): 0.02
Distance to the lowest polymorph of the same formula (meV per atom): 0
SG: F-43m, No. 216
DFT total energy (eV per atom): -6.91

a = 4.485 Å, b = 4.485 Å, c = 4.485 Å
α = 60.00°, β = 60.00°, γ = 60.00°
Atoms (fractional coordinates):
Nb 0.250 0.250 0.250
Tc 0.000 0.000 0.000
Tl 0.750 0.750 0.750